Below is a relaxed structure of ZrCd3Se, with properties calculated at the PBE level.

For the total magnetization, the calculation gives 0.0 μB/f.u. For the offset from the most stable computed form, the calculation gives 0.168 eV per atom. Its energy is -10.24 eV per cell. The formation energy (no corrections) is 0.908 eV/atom.

The space group is Pm-3m (No. 221) and the conventional cell measures 5.630, 5.630 and 5.630 Å, with angles of 90.00, 90.00 and 90.00 degrees. The inequivalent atoms are Zr at (0.000, 0.000, 0.000), Cd at (0.000, 0.000, 0.500) and Se at (0.500, 0.500, 0.500).

Below is a relaxed structure of ZrCdSe, with properties calculated at the PBE level.

For the total magnetization, the calculation gives 0.0 μB/f.u. For the offset from the most stable computed form, the calculation gives 0.553 eV per atom. Its energy is -52.75 eV per cell. The formation energy (no corrections) is -0.080 eV/atom.

The space group is F-43m (No. 216) and the conventional cell measures 6.594, 6.594 and 6.594 Å, with angles of 90.00, 90.00 and 90.00 degrees. The inequivalent atoms are Zr at (0.000, 0.000, 0.000), Cd at (0.000, 0.000, 0.500) and Se at (0.250, 0.250, 0.750).

Below is a relaxed structure of Zr3CdSe, with properties calculated at the PBE level.

For the total magnetization, the calculation gives 0.0 μB/f.u. For the offset from the most stable computed form, the calculation gives 0.000 eV per atom. Its energy is -30.47 eV per cell. The formation energy (no corrections) is -0.085 eV/atom.

The space group is Pm-3m (No. 221) and the conventional cell measures 5.001, 5.001 and 5.001 Å, with angles of 90.00, 90.00 and 90.00 degrees. The inequivalent atoms are Zr at (0.000, 0.000, 0.500), Cd at (0.500, 0.500, 0.500) and Se at (0.000, 0.000, 0.000).

Below is a relaxed structure of ZrCdSe3, with properties calculated at the PBE level.

For the total magnetization, the calculation gives 0.0 μB/f.u. For the offset from the most stable computed form, the calculation gives 0.835 eV per atom. Its energy is -18.02 eV per cell. The formation energy (no corrections) is 0.380 eV/atom.

The space group is Pm-3m (No. 221) and the conventional cell measures 5.101, 5.101 and 5.101 Å, with angles of 90.00, 90.00 and 90.00 degrees. The inequivalent atoms are Zr at (0.000, 0.000, 0.000), Cd at (0.500, 0.500, 0.500) and Se at (0.000, 0.500, 0.500).